Below is a relaxed structure of Li6Mn3Sb3O16, with properties calculated at the GGA+U level.

POSCAR file:
```
Li6Mn3Sb3O16
1.0
5.2945 -3.0164 0.0000
5.2945 3.0164 0.0000
-0.1115 0.0000 10.0603
Li Mn Sb O
6 3 3 16
direct
0.0000 0.0000 0.0000
0.0016 0.0016 0.6491
0.3194 0.3194 0.5214
0.3287 0.3287 0.1522
0.6750 0.6750 0.0229
0.6794 0.6794 0.5294
0.0022 0.4977 0.8099
0.4977 0.0022 0.8099
0.8277 0.8277 0.3100
0.3230 0.8279 0.3135
0.4967 0.4967 0.8086
0.8279 0.3230 0.3135
0.0106 0.0106 0.4336
0.1458 0.1458 0.1998
0.1458 0.6870 0.2102
0.1724 0.6367 0.7049
0.1840 0.1840 0.7090
0.3283 0.3283 0.9162
0.3618 0.8233 0.9137
0.5085 0.9678 0.4140
0.5109 0.5109 0.4294
0.6367 0.1724 0.7049
0.6426 0.6426 0.2003
0.6695 0.6695 0.7102
0.6870 0.1458 0.2102
0.8180 0.8180 0.9102
0.8233 0.3618 0.9137
0.9678 0.5085 0.4140
```

Properties
V in A^3/atom: 11.5
DFT total energy in eV for the cell shown: -171.696